Entry 1:
Tb5Si2B8 | SCAN | single point on PBEsol structure

The total energy is -21.605 eV/atom. Its raw formation energy is -10.800 eV per formula unit.

Lattice parameters (Å, degrees): 7.206 7.206 8.038 90.00 90.00 90.00
Positions (direct):
B (0.500, 0.500, 0.162)
B (0.172, 0.039, 0.000)
B (0.672, 0.461, 0.000)
B (0.590, 0.910, 0.000)
B (0.961, 0.172, 0.000)
B (0.000, 0.000, 0.162)
B (0.539, 0.672, 0.000)
B (0.090, 0.590, 0.000)
B (0.828, 0.961, 0.000)
B (0.328, 0.539, 0.000)
B (0.000, 0.000, 0.838)
B (0.500, 0.500, 0.838)
B (0.461, 0.328, 0.000)
B (0.910, 0.410, 0.000)
B (0.039, 0.828, 0.000)
B (0.410, 0.090, 0.000)
Si (0.885, 0.385, 0.500)
Si (0.115, 0.615, 0.500)
Si (0.385, 0.115, 0.500)
Si (0.615, 0.885, 0.500)
Tb (0.819, 0.681, 0.224)
Tb (0.000, 0.000, 0.500)
Tb (0.319, 0.819, 0.776)
Tb (0.819, 0.681, 0.776)
Tb (0.681, 0.181, 0.224)
Tb (0.681, 0.181, 0.776)
Tb (0.181, 0.319, 0.776)
Tb (0.181, 0.319, 0.224)
Tb (0.319, 0.819, 0.224)
Tb (0.500, 0.500, 0.500)

=====

Entry 2:
SiBTe3 | SCAN | single point on PBEsol structure

The total energy is -24.867 eV/atom. Its raw formation energy is 4.866 eV per formula unit.

Lattice parameters (Å, degrees): 4.794 4.794 4.794 90.00 90.00 90.00
Positions (direct):
Te (0.500, 0.000, 0.000)
Te (0.000, 0.000, 0.500)
Te (0.000, 0.500, 0.000)
B (0.000, 0.000, 0.000)
Si (0.500, 0.500, 0.500)

=====

Entry 3:
Si2BTe | SCAN | single point on PBEsol structure

The total energy is -14.718 eV/atom. Its raw formation energy is 5.840 eV per formula unit.

Lattice parameters (Å, degrees): 4.520 4.520 4.520 60.00 60.00 60.00
Positions (direct):
Si (0.750, 0.750, 0.750)
Si (0.250, 0.250, 0.250)
Te (0.500, 0.500, 0.500)
B (0.000, 0.000, 0.000)

=====

Entry 4:
TiZnSiB2 | SCAN | single point on PBEsol structure

The total energy is -9.594 eV/atom. Its raw formation energy is 6.449 eV per formula unit.

Lattice parameters (Å, degrees): 3.756 3.756 4.972 90.00 90.00 90.00
Positions (direct):
B (0.500, 0.000, 0.000)
B (0.000, 0.500, 0.000)
Ti (0.500, 0.500, 0.500)
Zn (0.000, 0.000, 0.000)
Si (0.000, 0.000, 0.500)

=====

Entry 5:
TlSi2B | SCAN | single point on PBEsol structure

The total energy is -23.396 eV/atom. Its raw formation energy is 6.237 eV per formula unit.

Lattice parameters (Å, degrees): 4.557 4.557 4.557 60.00 60.00 60.00
Positions (direct):
Si (0.250, 0.250, 0.250)
Si (0.750, 0.750, 0.750)
Tl (0.500, 0.500, 0.500)
B (0.000, 0.000, 0.000)

=====

Entry 6:
V5SiB2 | SCAN | single point on PBEsol structure

The total energy is -14.770 eV/atom. Its raw formation energy is -5.846 eV per formula unit.

Lattice parameters (Å, degrees): 5.719 5.719 6.684 115.33 115.33 90.00
Positions (direct):
V (0.000, 0.000, 0.000)
V (0.193, 0.032, 0.726)
V (0.968, 0.468, 0.274)
V (0.468, 0.307, 0.274)
V (0.500, 0.500, 0.000)
V (0.532, 0.693, 0.726)
V (0.807, 0.968, 0.274)
V (0.307, 0.807, 0.274)
V (0.032, 0.532, 0.726)
V (0.693, 0.193, 0.726)
B (0.384, 0.884, 0.000)
B (0.116, 0.384, 0.000)
B (0.884, 0.616, 0.000)
B (0.616, 0.116, 0.000)
Si (0.250, 0.250, 0.500)
Si (0.750, 0.750, 0.500)

=====

Entry 7:
V10Si6B | SCAN | single point on PBEsol structure

The total energy is -14.905 eV/atom. Its raw formation energy is -10.982 eV per formula unit.

Lattice parameters (Å, degrees): 4.799 7.072 7.072 120.00 90.00 90.00
Positions (direct):
V (0.753, 0.244, 0.244)
V (0.753, 0.756, 0.000)
V (0.000, 0.667, 0.333)
V (0.000, 0.333, 0.667)
V (0.500, 0.667, 0.333)
V (0.247, 0.244, 0.000)
V (0.500, 0.333, 0.667)
V (0.247, 0.000, 0.244)
V (0.247, 0.756, 0.756)
V (0.753, 0.000, 0.756)
Si (0.248, 0.000, 0.602)
Si (0.752, 0.602, 0.602)
Si (0.248, 0.602, 0.000)
Si (0.752, 0.398, 0.000)
Si (0.752, 0.000, 0.398)
Si (0.248, 0.398, 0.398)
B (0.500, 0.000, 0.000)

=====

Entry 8:
SiB3W | SCAN | single point on PBEsol structure

The total energy is -18.814 eV/atom. Its raw formation energy is 7.921 eV per formula unit.

Lattice parameters (Å, degrees): 4.158 4.158 4.158 90.00 90.00 90.00
Positions (direct):
B (0.000, 0.500, 0.000)
B (0.500, 0.000, 0.000)
B (0.000, 0.000, 0.500)
Si (0.500, 0.500, 0.500)
W (0.000, 0.000, 0.000)

=====

What is the formula in the third record?
Si2BTe

=====

Which of these has the lowest raw formation energy?
V10Si6B